DFT (PBE) results for a relaxed BaAg2Hg crystal.

Lattice parameters (Å, degrees): 10.5242 10.5242 10.5242 150.81 150.81 41.76
Closest atoms and distances in Å follow each position.
Fractional positions:
Ba 0.3750 0.6250 0.7500  4 Hg 3.75, 8 Ag 3.85
Ba 0.6250 0.3750 0.2500  4 Hg 3.75, 8 Ag 3.85
Ag 0.0000 0.0000 0.0000  2 Ag 2.65, 2 Hg 2.79
Ag 0.0000 0.0000 0.5000  2 Ag 2.65, 2 Hg 2.79
Ag 0.0000 0.5000 0.0000  2 Ag 2.65, 2 Hg 2.79
Ag 0.5000 0.0000 0.5000  2 Ag 2.65, 2 Hg 2.79
Hg 0.1250 0.8750 0.2500  4 Ag 2.79
Hg 0.8750 0.1250 0.7500  4 Ag 2.79

ΔH_f (0 K): -0.11 eV/atom
symmetry: No. 141
total magnetic moment: 0.000 μB/cell